The following is a PBE calculation of crystalline TbCeYTh at its relaxed geometry, from Alexandria via LeMat-Bulk.

The calculation puts the formation energy at 0.11 eV/f.u. The polymorph energy (0 for the lowest one) is 0 meV/atom.

Lattice parameters (Å, degrees): 3.5560 3.5560 34.2312 90.00 90.00 120.00
Space group R3m (No. 160, hexagonal axes)
One atom of each set of equivalent atoms:
Tb 0.0000 0.0000 0.0000 (multiplicity 3)
Ce 0.0000 0.0000 0.4166 (multiplicity 3)
Y 0.0000 0.0000 0.2477 (multiplicity 3)
Th 0.0000 0.0000 0.8305 (multiplicity 3)


The following is a PBE calculation of crystalline LiCdIn at its relaxed geometry, from Alexandria via LeMat-Bulk.

The calculation puts the formation energy at -0.51 eV/f.u. The polymorph energy (0 for the lowest one) is 21 meV/atom.

Lattice parameters (Å, degrees): 4.396 4.351 6.978 90.00 108.02 90.00
Space group P2_1/m (No. 11)
One atom of each set of equivalent atoms:
Li 0.250 0.250 0.002 (multiplicity 2)
Cd 0.400 0.750 0.311 (multiplicity 2)
In 0.099 0.750 0.689 (multiplicity 2)


The following is a PBE calculation of crystalline Zn2OsSe at its relaxed geometry, from Alexandria via LeMat-Bulk.

The value obtained for the uncorrected formation energy is 253 meV per atom.

Lattice parameters (Å, degrees): 3.109 4.333 4.613 90.00 90.00 90.00
Space group Pmm2 (No. 25)
One atom of each set of equivalent atoms:
Zn 0.000 0.000 0.000 (multiplicity 1)
Zn 0.000 0.500 0.315 (multiplicity 1)
Os 0.500 0.500 0.813 (multiplicity 1)
Se 0.500 0.000 0.531 (multiplicity 1)


The following is a PBE calculation of crystalline SrTb3Hg6 at its relaxed geometry, from Alexandria via LeMat-Bulk.

The calculation puts the formation energy at -4.32 eV/f.u.

Lattice parameters (Å, degrees): 9.337 5.244 11.374 90.00 106.68 90.00
Space group P2_1/m (No. 11)
One atom of each set of equivalent atoms:
Sr 0.062 0.250 0.389 (multiplicity 2)
Tb 0.228 0.250 0.006 (multiplicity 2)
Tb 0.357 0.750 0.808 (multiplicity 2)
Tb 0.486 0.250 0.616 (multiplicity 2)
Hg 0.066 0.750 0.907 (multiplicity 2)
Hg 0.147 0.750 0.204 (multiplicity 2)
Hg 0.184 0.250 0.704 (multiplicity 2)
Hg 0.270 0.750 0.525 (multiplicity 2)
Hg 0.357 0.250 0.292 (multiplicity 2)
Hg 0.459 0.750 0.091 (multiplicity 2)


The following is a PBE calculation of crystalline MgGe3Ru at its relaxed geometry, from Alexandria via LeMat-Bulk.

The calculation puts the formation energy at 1.27 eV/f.u.

Lattice parameters (Å, degrees): 4.836 4.836 4.836 90.00 90.00 90.00
Space group Pm-3m (No. 221)
One atom of each set of equivalent atoms:
Mg 0.000 0.000 0.000 (multiplicity 1)
Ge 0.000 0.500 0.500 (multiplicity 3)
Ru 0.500 0.500 0.500 (multiplicity 1)


The following is a PBE calculation of crystalline EuAgH at its relaxed geometry, from Alexandria via LeMat-Bulk.

As for the total energy: -5.861 eV per atom.

Lattice parameters (Å, degrees): 4.049 12.535 4.537 90.00 90.00 90.00
Space group Cmcm (No. 63)
One atom of each set of equivalent atoms:
Eu 0.000 0.159 0.250 (multiplicity 4)
Ag 0.000 0.437 0.250 (multiplicity 4)
H 0.000 0.240 0.750 (multiplicity 4)


The following is a PBE calculation of crystalline ThCd2In at its relaxed geometry, from Alexandria via LeMat-Bulk.

The calculation puts the formation energy at -0.80 eV/f.u. The polymorph energy (0 for the lowest one) is 0 meV/atom.

Lattice parameters (Å, degrees): 4.661 4.661 4.808 90.00 90.00 90.00
Space group P4/mmm (No. 123)
One atom of each set of equivalent atoms:
Th 0.000 0.000 0.000 (multiplicity 1)
Cd 0.000 0.500 0.500 (multiplicity 2)
In 0.500 0.500 0.000 (multiplicity 1)


The following is a PBE calculation of crystalline Na5Ge at its relaxed geometry, from Alexandria via LeMat-Bulk.

The calculation puts the formation energy at 0.09 eV/f.u. The polymorph energy (0 for the lowest one) is 12 meV/atom.

Lattice parameters (Å, degrees): 5.503 11.292 5.456 90.00 90.00 90.00
Space group Cmmm (No. 65)
One atom of each set of equivalent atoms:
Na 0.000 0.000 0.000 (multiplicity 2)
Na 0.000 0.157 0.500 (multiplicity 4)
Na 0.000 0.355 0.000 (multiplicity 4)
Ge 0.000 0.500 0.500 (multiplicity 2)


Number 1: size of the total moment 0.00 μB per atom, DOS at the Fermi energy 23.50 states/eV/cell. Number 2: size of the total moment 0.00 μB per atom, DOS at the Fermi energy 1.37 states/eV/cell. Number 3: size of the total moment 0.00 μB per atom, DOS at the Fermi energy 1.42 states/eV/cell. Number 4: size of the total moment 0.00 μB per atom, DOS at the Fermi energy 12.84 states/eV/cell. Number 5: size of the total moment 0.00 μB per atom, DOS at the Fermi energy 5.38 states/eV/cell. Number 6: size of the total moment 2.36 μB per atom, DOS at the Fermi energy 37.40 states/eV/cell. Number 7: size of the total moment 0.00 μB per atom, DOS at the Fermi energy 2.85 states/eV/cell. Number 8: size of the total moment 0.00 μB per atom, DOS at the Fermi energy 3.80 states/eV/cell.